P) ## CeCrP2 (PBE)

Data for crystalline CeCrP2 at its relaxed geometry.

Properties
- space group = I-4m2
- magnetization (μB per formula unit) = 3.727

The structure in POSCAR format:
```
CeCrP2
1.0
3.933 0.001 0.000
-0.001 3.932 -0.002
-1.966 -1.964 4.935
P Ce Cr
2 1 1
Direct
0.843 0.503 0.471
0.600 0.260 0.985
0.221 0.881 0.228
0.471 0.631 0.728
```

=====

Q) ## CeCrP2 (PBE)

Data for crystalline CeCrP2 at its relaxed geometry.

Properties
- space group = R-3m
- magnetization (μB per formula unit) = 1.952

The structure in POSCAR format:
```
CeCrP2
1.0
-2.097 2.873 1.410
-3.723 -0.521 0.716
-0.692 -0.892 5.981
P Ce Cr
2 1 1
Direct
0.731 0.731 0.807
0.269 0.269 0.193
0.500 0.500 0.500
0.000 0.000 0.000
```

=====

According to the calculations, the structures order from most to least stable as Q), P).

=====

P) ## CeCrSe3 (PBE)

Data for crystalline CeCrSe3 at its relaxed geometry.

Properties
- space group = Cmmm
- magnetization (μB per formula unit) = 3.919

The structure in POSCAR format:
```
CeCrSe3
1.0
3.876 0.000 0.001
0.000 7.468 2.694
-0.001 -0.066 7.939
Se Cr Ce
6 2 2
Direct
0.864 0.373 0.822
0.864 0.015 0.671
0.862 0.770 0.425
0.364 0.024 0.076
0.863 0.618 0.068
0.363 0.365 0.417
0.364 0.194 0.746
0.362 0.694 0.246
0.363 0.694 0.747
0.864 0.194 0.247
```

=====

Q) ## CeCrSe3 (PBE)

Data for crystalline CeCrSe3 at its relaxed geometry.

Properties
- space group = C2/m
- magnetization (μB per formula unit) = 3.906

The structure in POSCAR format:
```
CeCrSe3
1.0
3.860 0.000 -0.001
1.930 6.089 0.171
0.001 2.926 9.964
Se Cr Ce
6 2 2
Direct
0.455 0.658 0.713
0.233 0.103 0.346
0.988 0.592 0.427
0.207 0.155 0.932
0.700 0.169 0.632
0.481 0.606 0.127
0.084 0.400 0.680
0.604 0.360 0.379
0.901 0.767 0.890
0.787 0.994 0.169
```

=====

According to the calculations, the structures order from most to least stable as Q), P).

=====

P) ## CeTi2Cr (PBE)

Data for crystalline CeTi2Cr at its relaxed geometry.

Properties
- space group = R-3m
- magnetization (μB per formula unit) = 0.000

The structure in POSCAR format:
```
CeTi2Cr
1.0
-2.556 -0.986 1.046
-1.998 -1.123 -1.829
2.267 -9.299 0.885
Ti Cr Ce
2 1 1
Direct
0.102 0.102 0.695
0.898 0.898 0.305
0.500 0.500 0.500
0.000 0.000 0.000
```

=====

Q) ## CeTi2Cr (PBE)

Data for crystalline CeTi2Cr at its relaxed geometry.

Properties
- space group = P4/mmm
- magnetization (μB per formula unit) = 0.001

The structure in POSCAR format:
```
CeTi2Cr
1.0
-1.097 -2.321 -1.652
2.288 -1.772 0.970
-4.340 -2.275 6.077
Ce Ti Cr
1 2 1
Direct
0.500 0.500 0.500
0.000 0.000 0.817
0.000 0.000 0.183
0.500 0.500 0.000
```

=====

According to the calculations, the structures order from most to least stable as Q), P).

=====

P) ## CsCeHgSe3 (PBE)

Data for crystalline CsCeHgSe3 at its relaxed geometry.

Properties
- space group = Cmcm
- magnetization (μB per formula unit) = 0.944

The structure in POSCAR format:
```
CsCeHgSe3
1.0
8.438 -0.013 0.000
-7.255 4.308 0.000
0.000 0.000 11.409
Se Hg Ce Cs
6 2 2 2
Direct
0.620 0.380 0.952
0.380 0.620 0.452
0.937 0.063 0.750
0.063 0.937 0.250
0.380 0.620 0.048
0.620 0.380 0.548
0.460 0.540 0.250
0.540 0.460 0.750
0.000 0.000 0.000
0.000 0.000 0.500
0.746 0.254 0.250
0.254 0.746 0.750
```

=====

Q) ## CsCeHgSe3 (PBE)

Data for crystalline CsCeHgSe3 at its relaxed geometry.

Properties
- space group = P2_1/m
- magnetization (μB per formula unit) = 0.356

The structure in POSCAR format:
```
CsCeHgSe3
1.0
-4.166 0.640 -0.962
-0.592 -8.750 -3.254
-2.460 0.247 10.824
Hg Cs Se Ce
2 2 6 2
Direct
0.250 0.108 0.570
0.750 0.892 0.430
0.250 0.238 0.271
0.750 0.762 0.729
0.750 0.303 0.579
0.250 0.697 0.421
0.250 0.550 0.875
0.750 0.450 0.125
0.250 0.115 0.827
0.750 0.885 0.173
0.750 0.330 0.846
0.250 0.670 0.154
```

=====

According to the calculations, the structures order from most to least stable as P), Q).

=====

P) ## CsCeI2 (PBE)

Data for crystalline CsCeI2 at its relaxed geometry.

Properties
- space group = R-3m
- magnetization (μB per formula unit) = 1.667

The structure in POSCAR format:
```
CsCeI2
1.0
4.333 0.000 0.000
2.167 3.753 0.000
2.167 1.251 9.977
Cs I Ce
1 2 1
Direct
0.500 0.500 0.500
0.738 0.738 0.787
0.262 0.262 0.213
0.000 0.000 0.000
```

=====

Q) ## CsCeI2 (PBE)

Data for crystalline CsCeI2 at its relaxed geometry.

Properties
- space group = P4/mmm
- magnetization (μB per formula unit) = 1.639

The structure in POSCAR format:
```
CsCeI2
1.0
-3.974 0.541 -0.569
-0.785 -2.735 2.883
0.002 6.597 6.257
I Cs Ce
2 1 1
Direct
0.000 0.000 0.205
0.000 0.000 0.795
0.500 0.500 0.500
0.500 0.500 0.000
```

=====

According to the calculations, the structures order from most to least stable as P), Q).

=====

P) ## Cs2Ce2I7 (PBE)

Data for crystalline Cs2Ce2I7 at its relaxed geometry.

Properties
- space group = C2/m
- magnetization (μB per formula unit) = 3.003

The structure in POSCAR format:
```
Cs2Ce2I7
1.0
-5.898 4.171 -5.416
0.552 -8.366 -5.459
-5.829 0.252 8.127
I Cs Ce
7 2 2
Direct
0.000 0.000 0.000
0.730 0.377 0.062
0.270 0.938 0.623
0.768 0.567 0.567
0.270 0.623 0.938
0.730 0.062 0.377
0.232 0.433 0.433
0.500 0.687 0.313
0.500 0.313 0.687
0.110 0.717 0.717
0.890 0.283 0.283
```

=====

Q) ## Cs2Ce2I7 (PBE)

Data for crystalline Cs2Ce2I7 at its relaxed geometry.

Properties
- space group = Cmmm
- magnetization (μB per formula unit) = 3.006

The structure in POSCAR format:
```
Cs2Ce2I7
1.0
8.787 -0.439 0.475
0.317 7.891 1.404
-0.434 0.008 8.009
I Ce Cs
7 2 2
Direct
0.234 0.500 0.000
0.000 0.000 0.000
0.766 0.500 0.000
0.219 0.500 0.500
0.766 0.000 0.500
0.781 0.500 0.500
0.234 0.000 0.500
0.000 0.281 0.281
0.000 0.719 0.719
0.500 0.223 0.777
0.500 0.777 0.223
```

=====

According to the calculations, the structures order from most to least stable as Q), P).